--- A ---
The following is a PBE calculation of Y2NbSb after structural relaxation, from Alexandria via LeMat-Bulk.

Calculated values
DOS(E_F) ... 5.17 states/eV/f.u.
Size of the total moment ... 0.1449 μB/atom

Cell lengths 6.6313, 6.6313, 6.6313 Å; angles 102.11, 102.11, 125.48 degrees
Fractional positions:
Y 0.1239 0.6250 0.9989
Y 0.3750 0.3739 0.4989
Y 0.6261 0.1250 0.0011
Y 0.8750 0.8761 0.5011
Nb 0.0000 0.0000 0.0000
Nb 0.7500 0.2500 0.5000
Sb 0.2500 0.7500 0.5000
Sb 0.5000 0.5000 0.0000


--- B ---
The following is a PBE calculation of Y2NbSb after structural relaxation, from Alexandria via LeMat-Bulk.

Calculated values
DOS(E_F) ... 8.67 states/eV/f.u.
Size of the total moment ... 0.1837 μB/atom

Cell lengths 5.1860, 5.1860, 5.1860 Å; angles 60.00, 60.00, 60.00 degrees
Fractional positions:
Y 0.2500 0.2500 0.2500
Y 0.7500 0.7500 0.7500
Nb 0.0000 0.0000 0.0000
Sb 0.5000 0.5000 0.5000


If you had to bet on the most stable structure above, which would it be? Bet on B.